Density functional theory data (PBEsol) for crystalline BeCrPb2 at its relaxed geometry.

```
BeCrPb2
1.0
4.119 0.000 0.000
-2.060 4.587 -0.326
0.000 -2.431 4.502
Pb Cr Be
2 1 1
direct
0.765 0.531 0.766
0.235 0.469 0.234
0.000 0.000 0.500
0.500 0.000 0.000
```

Computed properties:
- Total energy: -4.81 eV/atom